No. 1
Ho2MgSe4 (PBE, optimized geometry); spin magnetization = 0.000 μB per atom; calculated volume = 747.60 Å³/cell; symmetry = No. 62; mass density = 5.95 g/cm³; DFT total energy = -4.996 eV per atom; ΔE_f (raw) = -1.469 eV per atom
1.0
7.677 0.000 0.000
0.000 8.140 0.000
0.000 0.000 11.963
Ho Mg Se
8 4 16
Direct
0.750 0.066 0.313
0.250 0.934 0.687
0.250 0.434 0.813
0.750 0.566 0.187
0.250 0.056 0.014
0.750 0.944 0.986
0.750 0.444 0.514
0.250 0.556 0.486
0.250 0.174 0.399
0.750 0.826 0.601
0.750 0.326 0.899
0.250 0.674 0.101
0.500 0.123 0.839
0.500 0.877 0.161
0.500 0.377 0.339
0.500 0.623 0.661
0.000 0.623 0.661
0.000 0.377 0.339
0.000 0.877 0.161
0.000 0.123 0.839
0.250 0.881 0.450
0.750 0.119 0.550
0.750 0.619 0.950
0.250 0.381 0.050
0.750 0.240 0.109
0.250 0.760 0.891
0.250 0.260 0.609
0.750 0.740 0.391

***

No. 2
Cu2BO (PBE, optimized geometry); spin magnetization = 0.000 μB per atom; calculated volume = 90.87 Å³/cell; symmetry = No. 122; mass density = 5.62 g/cm³; DFT total energy = -4.665 eV per atom; ΔE_f (raw) = 0.292 eV per atom
1.0
4.984 0.000 0.000
0.000 4.984 0.000
2.492 2.492 3.659
B O Cu
2 2 4
Direct
0.500 0.500 0.000
0.250 0.750 0.500
0.000 0.000 0.000
0.750 0.250 0.500
0.631 0.125 0.250
0.119 0.625 0.250
0.375 0.369 0.750
0.875 0.881 0.750

***

No. 3
AgSnSb2Te (PBE, optimized geometry); spin magnetization = 0.000 μB per atom; calculated volume = 158.74 Å³/cell; symmetry = No. 123; mass density = 6.25 g/cm³; DFT total energy = -3.113 eV per atom; ΔE_f (raw) = 0.535 eV per atom
1.0
-3.444 2.162 -3.452
-3.799 -0.075 3.743
1.537 5.100 1.661
Sb Te Sn Ag
2 1 1 1
Direct
0.000 0.500 0.000
0.500 0.000 0.000
0.000 0.000 0.500
0.500 0.500 0.500
0.000 0.000 0.000